No. 1
# SnGeOs

An optimized crystal structure of SnGeOs (PBE-GGA, Alexandria).

It has space group P4mm (No. 99), with a = 3.113 Å, b = 3.113 Å, c = 5.923 Å, α = 90.00°, β = 90.00° and γ = 90.00°. The asymmetric unit holds Sn at (0.000, 0.000, 0.000), Ge at (0.000, 0.000, 0.460) and Os at (0.500, 0.500, 0.694).

The calculation puts the raw total energy at -0.23703 hartree per atom. The calculation puts the magnetic moment at 0.00 μB/f.u. The density of states at the Fermi level is 0.363 states/eV per cell. Its formation energy is 48 kJ/mol of formula units.

---

No. 2
# Sn2Ge2Os

An optimized crystal structure of Sn2Ge2Os (PBE-GGA, Alexandria).

It has space group P4/mbm (No. 127), with a = 6.983 Å, b = 6.983 Å, c = 4.539 Å, α = 90.00°, β = 90.00° and γ = 90.00°. The asymmetric unit holds Sn at (0.154, 0.346, 0.000), Ge at (0.158, 0.658, 0.500) and Os at (0.000, 0.000, 0.000).

Its offset from the most stable computed form is 12.35 kJ/mol of atoms. The calculation puts the raw total energy at -0.18632 hartree per atom. The calculation puts the magnetic moment at 0.06 μB/f.u. The density of states at the Fermi level is 7.247 states/eV per cell. Its formation energy is 301 kJ/mol of formula units.